A plane-wave DFT calculation with PBE-GGA was carried out for a geometry-optimized CrCo2TcAg structure.

The total energy is -0.44741 Ry per atom. Its energy relative to the elements is 1.3231 eV per atom. As for the crystal system: tetragonal.

It has space group P4/mmm (No. 123), with a = 4.423 Å, b = 4.423 Å, c = 4.552 Å, α = 90.00°, β = 90.00° and γ = 90.00°. Symmetry generates all atoms from Cr at (0.000, 0.000, 0.000), Co at (0.000, 0.500, 0.500), Tc at (0.000, 0.000, 0.500) and Ag at (0.500, 0.500, 0.000).

=====

A plane-wave DFT calculation with PBE-GGA was carried out for a geometry-optimized Tc2RuRh structure.

The total energy is -0.68779 Ry per atom. Its energy relative to the elements is -0.0180 eV per atom. Its energy above the most stable polymorph in this dataset is 0.46 eV/f.u. As for the crystal system: monoclinic.

It has space group P2/m (No. 10), with a = 2.724 Å, b = 3.851 Å, c = 5.452 Å, α = 90.00°, β = 90.16° and γ = 90.00°. Symmetry generates all atoms from Tc at (0.001, 0.000, 0.240), Ru at (0.500, 0.500, 0.000) and Rh at (0.500, 0.500, 0.500).

=====

A plane-wave DFT calculation with PBE-GGA was carried out for a geometry-optimized IrRhAu structure.

The total energy is -0.46350 Ry per atom. Its energy relative to the elements is 0.1904 eV per atom. Its energy above the most stable polymorph in this dataset is 0.08 eV/f.u. As for the crystal system: tetragonal.

It has space group I4mm (No. 107), with a = 2.788 Å, b = 2.788 Å, c = 12.061 Å, α = 90.00°, β = 90.00° and γ = 90.00°. Symmetry generates all atoms from Ir at (0.000, 0.000, 0.000), Rh at (0.000, 0.000, 0.354) and Au at (0.000, 0.000, 0.678).